Record 1
A plane-wave DFT calculation with GGA-PBE was carried out for a geometry-optimized BaMgCd3In structure.

a b c (Å): 7.128 14.497 6.793
angles (deg): 90.00 90.00 90.00
Space group Cmcm (No. 63)
Inequivalent atoms, fractional coordinates:
Ba  0.000  0.204  0.250
Mg  0.000  0.438  0.250
Cd  0.000  0.363  0.750
Cd  0.204  0.000  0.000
In  0.000  0.146  0.750

Its energy of formation is -118 meV/atom.

Record 2
A plane-wave DFT calculation with GGA-PBE was carried out for a geometry-optimized DyPaIrS structure.

a b c (Å): 3.8895 3.8895 21.3794
angles (deg): 90.00 90.00 120.00
Space group R3m (No. 160, hexagonal axes)
Inequivalent atoms, fractional coordinates:
Dy  0.0000  0.0000  0.0000
Pa  0.0000  0.0000  0.1781
Ir  0.0000  0.0000  0.5824
S  0.0000  0.0000  0.7555

The uncorrected formation energy is -1173 meV/atom.

Record 3
A plane-wave DFT calculation with GGA-PBE was carried out for a geometry-optimized EuTlGa4 structure.

a b c (Å): 8.150 8.150 8.150
angles (deg): 90.00 90.00 90.00
Space group F-43m (No. 216)
Inequivalent atoms, fractional coordinates:
Eu  0.000  0.000  0.000
Tl  0.250  0.250  0.250
Ga  0.125  0.125  0.625

Its energy of formation is -218 meV/atom.

Record 4
A plane-wave DFT calculation with GGA-PBE was carried out for a geometry-optimized La2FeMo structure.

a b c (Å): 7.088 7.088 7.088
angles (deg): 90.00 90.00 90.00
Space group Fm-3m (No. 225)
Inequivalent atoms, fractional coordinates:
La  0.250  0.250  0.250
Fe  0.000  0.000  0.000
Mo  0.000  0.000  0.500

The value obtained for the energy above the most stable polymorph in this dataset is 395 meV per atom. Its energy of formation is 682 meV/atom.

no.,density (Mg/m³)
1,5.81
2,10.99
3,7.79
4,8.01